Material: Rb3AgBr6
Method: DFT, PBE
State: relaxed

CIF file:
```
data_Rb3AgBr6
_chemical_formula_sum 'Rb12 Ag4 Br24'
_space_group_name_H-M_alt 'F m -3 m'
_space_group_IT_number 225
_space_group_name_Hall '-F 4 2 3'
_cell_length_a 11.770
_cell_length_b 11.770
_cell_length_c 11.770
_cell_angle_alpha 90.00
_cell_angle_beta 90.00
_cell_angle_gamma 90.00
loop_
_atom_site_label
_atom_site_fract_x
_atom_site_fract_y
_atom_site_fract_z
Rb1 0.000 0.000 0.000
Rb2 0.250 0.250 0.250
Ag1 0.000 0.000 0.500
Br1 0.000 0.000 0.273
```

Values from the calculation:
**Energy above the most stable polymorph in this dataset**: 0.81 eV/f.u.
**Formation energy without anion corrections**: -9.958 eV/f.u.
**Size of the total moment**: 0.199 μB/atom
**DOS(E_F)**: 0.2969 states/eV per atom